Record 1
Pm3CdAu5 | the Alexandria database | PBE | relaxed; final energy = -38.1 eV/f.u.; crystal system = hexagonal; formation energy from the elements = -722 meV per atom; SG = No. 193; DOS at the Fermi energy = 0.581 states/eV/atom
1.0
6.205 0.000 0.000
0.000 7.674 -4.431
0.000 0.001 8.862
Au Pm Cd
10 6 2
Direct
0.750 0.307 0.000
0.250 0.000 0.693
0.250 0.307 0.307
0.500 0.667 0.333
0.750 0.000 0.307
0.500 0.333 0.667
0.000 0.333 0.667
0.250 0.693 0.000
0.000 0.667 0.333
0.750 0.693 0.693
0.750 0.357 0.357
0.750 0.000 0.643
0.250 0.643 0.643
0.250 0.000 0.357
0.250 0.357 0.000
0.750 0.643 0.000
0.500 0.000 0.000
0.000 0.000 0.000


Record 2
AcTbHo2 | the Alexandria database | PBE | relaxed; final energy = -17.6 eV/f.u.; crystal system = tetragonal; formation energy from the elements = 61 meV per atom; SG = No. 123; DOS at the Fermi energy = 1.694 states/eV/atom
1.0
-2.929 -0.115 -2.236
-1.476 -2.671 2.069
-4.631 6.977 5.705
Ho Ac Tb
2 1 1
Direct
0.000 0.000 0.264
0.000 0.000 0.736
0.500 0.500 0.000
0.500 0.500 0.500


Record 3
PrZr2Tl | the Alexandria database | PBE | relaxed; final energy = -23.1 eV/f.u.; crystal system = trigonal; formation energy from the elements = 292 meV per atom; SG = No. 166; DOS at the Fermi energy = 1.430 states/eV/atom
1.0
3.245 0.000 0.000
1.622 2.810 0.000
1.622 0.937 11.557
Pr Tl Zr
1 1 2
Direct
0.000 0.000 0.000
0.500 0.500 0.500
0.092 0.092 0.724
0.908 0.908 0.276